Computed, not measured: a relaxed structure of TlCrSeO6 at the PBE+U level of DFT.

Results
volume = 11.86 Å³ per atom
electronic total energy = -5.757 eV/atom
M_tot = 0.33 μB/atom

Cell: 5.0796 5.0796 4.7785 Å, 90.00 90.00 120.00°
Closest atoms and distances in Å follow each position.
Sites, in units of the cell vectors:
1 Tl 0.0000 0.0000 0.0000  6 O 2.32
2 Cr 0.3333 0.6667 0.5000  6 O 1.99
3 Se 0.6667 0.3333 0.5000  6 O 1.84
4 O 0.3819 0.0215 0.7173  1 Se 1.84, 1 Cr 1.99
5 O 0.3819 0.3604 0.2827  1 Se 1.84, 1 Cr 1.99
6 O 0.6396 0.0215 0.2827  1 Se 1.84, 1 Cr 1.99
7 O 0.6396 0.6181 0.7173  1 Se 1.84, 1 Cr 1.99
8 O 0.9785 0.3604 0.7173  1 Se 1.84, 1 Cr 1.99
9 O 0.9785 0.6181 0.2827  1 Se 1.84, 1 Cr 1.99